Material: KScCl4
Method: DFT, PBE-GGA
State: relaxed

Lattice parameters (Å, degrees): 6.0427 6.0427 6.0427 60.00 60.00 60.00
Fractional coordinates of all 6 atoms:
K: 0.0000 0.0000 0.0000
Sc: 0.7500 0.7500 0.7500
Cl: 0.3755 0.3755 0.3755
Cl: 0.3755 0.3755 0.8736
Cl: 0.3755 0.8736 0.3755
Cl: 0.8736 0.3755 0.3755

Results
Symmetry: F-43m, No. 216
Density of states at the Fermi level: 11.1 states/eV per cell
Magnetization: 1.5 μB/cell
Energy above the lowest structure with this stoichiometry: 1721.7 meV per atom
Uncorrected energy: -2.819 eV per atom



Material: KSc2Cl
Method: DFT, PBE-GGA
State: relaxed

Lattice parameters (Å, degrees): 6.8202 6.8202 6.8202 151.45 116.42 71.14
Fractional coordinates of all 4 atoms:
K: 0.0000 0.0000 0.0000
Sc: 0.4160 0.4160 0.0000
Sc: 0.6487 0.1487 0.5000
Cl: 0.2392 0.7392 0.5000

Results
Symmetry: Imm2, No. 44
Density of states at the Fermi level: 4.4 states/eV per cell
Magnetization: 1.6 μB/cell
Energy above the lowest structure with this stoichiometry: 438.6 meV per atom
Uncorrected energy: -4.045 eV per atom



Material: KSc2Cl
Method: DFT, PBE-GGA
State: relaxed

Lattice parameters (Å, degrees): 9.3826 9.3826 9.3826 141.87 141.87 55.02
Fractional coordinates of all 8 atoms:
K: 0.3750 0.6250 0.7500
K: 0.6250 0.3750 0.2500
Sc: 0.0000 0.0000 0.0000
Sc: 0.0000 0.0000 0.5000
Sc: 0.0000 0.5000 0.0000
Sc: 0.5000 0.0000 0.5000
Cl: 0.1250 0.8750 0.2500
Cl: 0.8750 0.1250 0.7500

Results
Symmetry: I4_1/amd, No. 141
Density of states at the Fermi level: 9.6 states/eV per cell
Magnetization: 3.9 μB/cell
Energy above the lowest structure with this stoichiometry: 704.1 meV per atom
Uncorrected energy: -3.780 eV per atom